(1)
Density functional theory data (PBE-GGA) for crystalline LiNbI5 at its relaxed geometry.

Unit cell a=7.784 b=7.784 c=11.025 alpha=109.66 beta=109.66 gamma=91.01
Atoms (fractional coordinates):
Li 0.127 0.873 0.750
Li 0.873 0.127 0.250
Nb 0.500 0.500 0.000
Nb 0.500 0.500 0.500
I 0.164 0.263 0.852
I 0.201 0.686 0.519
I 0.263 0.164 0.352
I 0.314 0.799 0.981
I 0.424 0.576 0.250
I 0.576 0.424 0.750
I 0.686 0.201 0.019
I 0.737 0.836 0.648
I 0.799 0.314 0.481
I 0.836 0.737 0.148

uncorrected energy	-3.378	eV/atom

(2)
Density functional theory data (PBE-GGA) for crystalline LiNbI6 at its relaxed geometry.

Unit cell a=7.717 b=7.717 c=7.717 alpha=56.23 beta=56.23 gamma=56.23
Atoms (fractional coordinates):
Li 0.000 0.000 0.000
Nb 0.500 0.500 0.500
I 0.104 0.732 0.419
I 0.268 0.581 0.896
I 0.419 0.104 0.732
I 0.581 0.896 0.268
I 0.732 0.419 0.104
I 0.896 0.268 0.581

energy relative to the lowest polymorph listed for this composition	5	meV/atom
uncorrected energy	-3.218	eV/atom

(3)
Density functional theory data (PBE-GGA) for crystalline Li3NbI at its relaxed geometry.

Unit cell a=5.183 b=5.183 c=5.183 alpha=90.00 beta=90.00 gamma=90.00
Atoms (fractional coordinates):
Li 0.000 0.000 0.500
Li 0.000 0.500 0.000
Li 0.500 0.000 0.000
Nb 0.500 0.500 0.500
I 0.000 0.000 0.000

energy relative to the lowest polymorph listed for this composition	0	meV/atom
uncorrected energy	-2.846	eV/atom

(4)
Density functional theory data (PBE-GGA) for crystalline LiNb3I at its relaxed geometry.

Unit cell a=4.570 b=4.570 c=4.570 alpha=90.00 beta=90.00 gamma=90.00
Atoms (fractional coordinates):
Li 0.000 0.000 0.000
Nb 0.000 0.000 0.500
Nb 0.000 0.500 0.000
Nb 0.500 0.000 0.000
I 0.500 0.500 0.500

energy relative to the lowest polymorph listed for this composition	0	meV/atom
uncorrected energy	-5.444	eV/atom

(5)
Density functional theory data (PBE-GGA) for crystalline LiNbI6 at its relaxed geometry.

Unit cell a=7.603 b=7.603 c=7.301 alpha=100.88 beta=100.88 gamma=122.58
Atoms (fractional coordinates):
Li 0.000 0.000 0.000
Nb 0.500 0.500 0.500
I 0.106 0.406 0.257
I 0.275 0.275 0.727
I 0.406 0.106 0.257
I 0.594 0.894 0.743
I 0.725 0.725 0.273
I 0.894 0.594 0.743

energy relative to the lowest polymorph listed for this composition	0	meV/atom
uncorrected energy	-3.223	eV/atom

(6)
Density functional theory data (PBE-GGA) for crystalline LiNb3I at its relaxed geometry.

Unit cell a=5.084 b=5.084 c=5.084 alpha=90.00 beta=90.00 gamma=90.00
Atoms (fractional coordinates):
Li 0.000 0.000 0.000
Nb 0.000 0.500 0.500
Nb 0.500 0.000 0.500
Nb 0.500 0.500 0.000
I 0.500 0.500 0.500

energy relative to the lowest polymorph listed for this composition	374	meV/atom
uncorrected energy	-5.070	eV/atom

(7)
Density functional theory data (PBE-GGA) for crystalline LiNbI3 at its relaxed geometry.

Unit cell a=5.801 b=5.801 c=5.801 alpha=90.00 beta=90.00 gamma=90.00
Atoms (fractional coordinates):
Li 0.000 0.000 0.000
Nb 0.500 0.500 0.500
I 0.000 0.500 0.500
I 0.500 0.000 0.500
I 0.500 0.500 0.000

uncorrected energy	-3.493	eV/atom

(8)
Density functional theory data (PBE-GGA) for crystalline LiNbI3 at its relaxed geometry.

Unit cell a=5.356 b=5.356 c=5.356 alpha=90.00 beta=90.00 gamma=90.00
Atoms (fractional coordinates):
Li 0.000 0.000 0.000
Nb 0.500 0.500 0.500
I 0.000 0.000 0.500
I 0.000 0.500 0.000
I 0.500 0.000 0.000

uncorrected energy	-3.005	eV/atom

Which value of uncorrected energy does entry 2 give? -3.218 eV/atom